Density functional theory data (GGA-PBE) for an optimized crystal structure of Sr2Y2Ru.

Cell lengths 7.281, 7.281, 6.420 Å; angles 90.00, 90.00, 90.00 degrees
Space group P4/mbm (No. 127)
Asymmetric unit:
Sr1 0.183 0.317 0.000 x4
Y1 0.171 0.671 0.500 x4
Ru1 0.000 0.000 0.500 x2

Properties
**Calculated total energy**: -4.9751 eV per atom
**DOS at the Fermi energy**: 0.5405 states/eV per atom
**Formation energy**: 0.692 eV/f.u.